No. 1
Material: LiTe2W
Method: DFT, PBE
State: optimized geometry

Unit cell a=9.758 b=9.758 c=9.758 alpha=18.97 beta=18.97 gamma=18.97
Positions (direct):
W (0.000, 0.000, 0.000)
Te (0.907, 0.907, 0.907)
Te (0.093, 0.093, 0.093)
Li (0.500, 0.500, 0.500)

Space group: No. 166
Energy above the lowest structure with this stoichiometry in meV/atom: 554

No. 2
Material: Li2TeW
Method: DFT, PBE
State: optimized geometry

Unit cell a=5.573 b=5.573 c=4.494 alpha=66.46 beta=66.46 gamma=33.42
Positions (direct):
Li (0.494, 0.494, 0.506)
Li (0.006, 0.006, 0.994)
Te (0.750, 0.750, 0.750)
W (0.250, 0.250, 0.250)

Space group: No. 12

No. 3
Material: Li2TeW
Method: DFT, PBE
State: optimized geometry

Unit cell a=5.409 b=5.409 c=2.821 alpha=89.92 beta=89.92 gamma=119.00
Positions (direct):
Te (0.500, 0.000, 0.500)
Li (0.500, 0.500, 0.000)
Li (0.000, 0.000, 0.000)
W (0.000, 0.500, 0.500)

Space group: No. 12

Per-record E_form (uncorrected), meV per atom: 523, 341, 392
Per-record total DFT energy (no corrections), eV per cell: -19.06, -18.56, -18.36